# 1
## As2PbW (PBEsol)

Data for an optimized crystal structure of As2PbW.

Values from the calculation:
Crystal system: trigonal
Calculated formation energy, eV/atom: 0.07

extended XYZ file:
```
12
Lattice="3.206 0.000 0.000 -1.603 2.777 0.000 0.000 0.000 27.607" Properties=species:S:1:pos:R:3 pbc="T T T"
As 0.000 0.000 6.384
As 0.000 0.000 21.224
As 0.000 1.851 12.021
As 0.000 1.851 24.788
As 1.603 0.926 2.819
As 1.603 0.926 15.586
Pb 0.000 0.000 0.000
Pb 0.000 1.851 18.405
Pb 1.603 0.926 9.202
W 0.000 0.000 13.804
W 0.000 1.851 4.601
W 1.603 0.926 23.006
```

# 2
## MgCoCu (PBEsol)

Data for an optimized crystal structure of MgCoCu.

Values from the calculation:
Energy above the most stable polymorph in this dataset, meV/atom: 0
Crystal system: orthorhombic
Calculated formation energy, eV/atom: 0.20

extended XYZ file:
```
6
Lattice="2.708 0.000 0.000 0.000 3.392 0.000 0.000 0.000 8.497" Properties=species:S:1:pos:R:3 pbc="T T T"
Mg 0.000 0.000 0.000
Mg 1.354 1.696 4.248
Co 0.000 0.000 2.711
Co 1.354 1.696 6.960
Cu 0.000 0.000 5.799
Cu 1.354 1.696 1.550
```

# 3
## La2TeRu (PBEsol)

Data for an optimized crystal structure of La2TeRu.

Values from the calculation:
Energy above the most stable polymorph in this dataset, meV/atom: 195
Crystal system: tetragonal
E_form (uncorrected), eV/atom: -0.49

extended XYZ file:
```
8
Lattice="4.336 0.000 0.000 0.000 4.336 0.000 0.000 0.000 10.404" Properties=species:S:1:pos:R:3 pbc="T T T"
La 0.000 0.000 0.000
La 0.000 2.168 2.601
La 2.168 0.000 7.803
La 2.168 2.168 5.202
Te 0.000 2.168 7.803
Te 2.168 0.000 2.601
Ru 0.000 0.000 5.202
Ru 2.168 2.168 0.000
```

# 4
## MoOsC3 (PBEsol)

Data for an optimized crystal structure of MoOsC3.

Values from the calculation:
Crystal system: cubic
Calculated formation energy, eV/atom: 2.18

extended XYZ file:
```
5
Lattice="3.916 0.000 0.000 0.000 3.916 0.000 0.000 0.000 3.916" Properties=species:S:1:pos:R:3 pbc="T T T"
Mo 0.000 0.000 0.000
Os 1.958 1.958 1.958
C 0.000 1.958 1.958
C 1.958 0.000 1.958
C 1.958 1.958 0.000
```

# 5
## MgAs2IrBr (PBEsol)

Data for an optimized crystal structure of MgAs2IrBr.

Values from the calculation:
Crystal system: tetragonal
E_form (uncorrected), eV/atom: 0.32

extended XYZ file:
```
5
Lattice="4.732 0.000 0.000 0.000 4.732 0.000 0.000 0.000 5.349" Properties=species:S:1:pos:R:3 pbc="T T T"
Mg 0.000 0.000 0.000
As 0.000 2.366 2.675
As 2.366 0.000 2.675
Ir 2.366 2.366 2.675
Br 2.366 2.366 0.000
```

# 6
## HgOs3 (PBEsol)

Data for an optimized crystal structure of HgOs3.

Values from the calculation:
Energy above the most stable polymorph in this dataset, meV/atom: 0
Crystal system: orthorhombic
Calculated formation energy, eV/atom: 0.72

extended XYZ file:
```
8
Lattice="2.779 0.000 0.000 0.000 9.184 0.000 0.000 0.000 4.782" Properties=species:S:1:pos:R:3 pbc="T T T"
Hg 0.000 0.000 0.000
Hg 1.390 4.592 2.391
Os 0.000 2.124 3.056
Os 0.000 4.592 4.725
Os 0.000 7.061 3.056
Os 1.390 0.000 2.334
Os 1.390 2.468 0.666
Os 1.390 6.716 0.666
```